# Eu3NbO7

A PBEsol-optimized structure of Eu3NbO7 (SCAN, the Alexandria database).

Calculated values
E_form (uncorrected)   -33.3 eV per formula unit
Polymorph energy (0 for the lowest one)   16 meV per atom
SG   No. 63
Calculated total energy   -271.16 eV per formula unit
Size of the total moment   36.0 μB per cell

Cell lengths 6.4897, 6.4897, 7.6371 Å; angles 90.00, 90.00, 111.48 degrees
Site moments in Bohr magnetons follow the coordinates.
Fractional coordinates of all 22 atoms:
Eu 0.0607 0.5207 0.7500  6.22
Eu 0.4793 0.9393 0.2500  6.22
Eu 0.0000 0.0000 0.0000  6.29
Eu 0.0000 0.0000 0.5000  6.29
Eu 0.9393 0.4793 0.2500  6.22
Eu 0.5207 0.0607 0.7500  6.22
Nb 0.5000 0.5000 0.0000  0.01
Nb 0.5000 0.5000 0.5000  0.01
O 0.8923 0.1543 0.7500  -0.25
O 0.8457 0.1077 0.2500  -0.25
O 0.4332 0.1769 0.4649  -0.09
O 0.8231 0.5668 0.9649  -0.09
O 0.8231 0.5668 0.5351  -0.09
O 0.4332 0.1769 0.0351  -0.09
O 0.5733 0.5733 0.2500  -0.01
O 0.4267 0.4267 0.7500  -0.01
O 0.1769 0.4332 0.4649  -0.09
O 0.1769 0.4332 0.0351  -0.09
O 0.5668 0.8231 0.9649  -0.09
O 0.5668 0.8231 0.5351  -0.09
O 0.1543 0.8923 0.7500  -0.25
O 0.1077 0.8457 0.2500  -0.25

=====

# K2ZrCr

A PBEsol-optimized structure of K2ZrCr (SCAN, the Alexandria database).

Calculated values
SG   No. 139
Calculated total energy   -61.74 eV per formula unit
Calculated formation energy   1.001 eV per atom
Size of the total moment   3.0 μB per cell

Cell lengths 4.1924, 4.1924, 6.9887 Å; angles 107.45, 107.45, 90.00 degrees
Site moments in Bohr magnetons follow the coordinates.
Fractional coordinates of all 4 atoms:
Cr 0.0000 0.0000 0.0000  3.86
K 0.7500 0.2500 0.5000  -0.03
K 0.2500 0.7500 0.5000  -0.03
Zr 0.5000 0.5000 0.0000  -0.62

=====

# ZnNi9O10

A PBEsol-optimized structure of ZnNi9O10 (SCAN, the Alexandria database).

Calculated values
E_form (uncorrected)   -26.6 eV per formula unit
SG   No. 2
Calculated total energy   -247.96 eV per formula unit
Size of the total moment   1.9 μB per cell

Cell lengths 5.0628, 5.8232, 6.5137 Å; angles 102.55, 97.45, 106.88 degrees
Site moments in Bohr magnetons follow the coordinates.
Fractional coordinates of all 20 atoms:
Zn 0.0000 0.0000 0.0000  0.04
Ni 0.0000 0.5000 0.0000  1.58
Ni 0.3991 0.7988 0.7996  -1.58
Ni 0.3959 0.2999 0.7979  1.59
Ni 0.2007 0.4011 0.4013  -1.58
Ni 0.7993 0.5989 0.5987  -1.58
Ni 0.7975 0.1004 0.6010  1.59
Ni 0.2025 0.8996 0.3990  1.59
Ni 0.6041 0.7001 0.2021  1.59
Ni 0.6009 0.2012 0.2004  -1.58
O 0.6946 0.1522 0.8967  0.04
O 0.1002 0.4506 0.7003  0.00
O 0.6965 0.6445 0.8966  0.04
O 0.1027 0.9499 0.6948  0.04
O 0.4999 0.2510 0.4976  0.00
O 0.5001 0.7490 0.5024  0.00
O 0.3035 0.3555 0.1034  0.04
O 0.8998 0.5494 0.2997  0.00
O 0.8973 0.0501 0.3052  0.04
O 0.3054 0.8478 0.1033  0.04

=====

# Er6Al3Si

A PBEsol-optimized structure of Er6Al3Si (SCAN, the Alexandria database).

Calculated values
E_form (uncorrected)   -4.3 eV per formula unit
SG   No. 140
Calculated total energy   -339.64 eV per formula unit
Size of the total moment   0.0 μB per cell

Cell lengths 10.9407, 10.9407, 10.9407 Å; angles 86.15, 62.20, 117.80 degrees
Fractional coordinates of all 40 atoms:
Er 0.8399 0.1700 0.3300
Er 0.1601 0.8300 0.6700
Er 0.5000 0.6700 0.1700
Er 0.5000 0.3300 0.8300
Er 0.2596 0.5626 0.5706
Er 0.7404 0.4374 0.4294
Er 0.7404 0.1698 0.6970
Er 0.8668 0.4294 0.8302
Er 0.1332 0.3302 0.9294
Er 0.2596 0.8302 0.3030
Er 0.1332 0.5706 0.1698
Er 0.8668 0.6698 0.0706
Er 0.1332 0.3030 0.4374
Er 0.8668 0.9374 0.8030
Er 0.8668 0.6970 0.5626
Er 0.1332 0.0626 0.1970
Er 0.2596 0.1970 0.6698
Er 0.7404 0.8030 0.3302
Er 0.7404 0.0706 0.0626
Er 0.2596 0.9294 0.9374
Er 0.5000 0.8515 0.6485
Er 0.5000 0.1485 0.3515
Er 0.5000 0.3515 0.1485
Er 0.5000 0.6485 0.8515
Al 0.7391 0.6196 0.8804
Al 0.2609 0.3804 0.1196
Al 0.5000 0.1196 0.6196
Al 0.5000 0.8804 0.3804
Al 0.8546 0.9726 0.5274
Al 0.1454 0.0274 0.4726
Al 0.1454 0.6181 0.8819
Al 0.5000 0.4726 0.3819
Al 0.5000 0.8819 0.9726
Al 0.8546 0.3819 0.1181
Al 0.5000 0.5274 0.6181
Al 0.5000 0.1181 0.0274
Si 0.0000 0.5000 0.5000
Si 0.0000 0.0000 0.0000
Si 0.0000 0.2500 0.7500
Si 0.0000 0.7500 0.2500

=====

# KIn2P

A PBEsol-optimized structure of KIn2P (SCAN, the Alexandria database).

Calculated values
SG   No. 65
Calculated total energy   -86.48 eV per formula unit
Calculated formation energy   -0.245 eV per atom
Size of the total moment   0.0 μB per cell

Cell lengths 3.9020, 5.7321, 5.7411 Å; angles 115.65, 90.00, 90.00 degrees
Fractional coordinates of all 4 atoms:
P 0.5000 0.5000 0.0000
K 0.5000 0.0000 0.5000
In 0.0000 0.3152 0.1840
In 0.0000 0.6848 0.8160

=====

# AgPt2

A PBEsol-optimized structure of AgPt2 (SCAN, the Alexandria database).

Calculated values
Polymorph energy (0 for the lowest one)   74 meV per atom
SG   No. 5
Calculated total energy   -171.54 eV per formula unit
Calculated formation energy   0.073 eV per atom
Size of the total moment   0.0 μB per cell

Cell lengths 4.8658, 6.2153, 6.2153 Å; angles 84.58, 83.10, 83.10 degrees
Fractional coordinates of all 12 atoms:
Ag 0.0000 0.0007 0.9993
Ag 0.7548 0.4165 0.0855
Ag 0.0000 0.6697 0.3303
Ag 0.2452 0.9145 0.5835
Pt 0.5000 0.8358 0.1642
Pt 0.2592 0.2471 0.2498
Pt 0.7456 0.0853 0.4239
Pt 0.5000 0.4968 0.5032
Pt 0.0000 0.3397 0.6603
Pt 0.7408 0.7502 0.7529
Pt 0.5000 0.1675 0.8325
Pt 0.2544 0.5761 0.9147